# 1
Pr4ErTm2Sc: relaxed, PBE.

```
data_Pr4ErTm2Sc
_cell_length_a 5.136
_cell_length_b 5.136
_cell_length_c 9.787
_cell_angle_alpha 90.00
_cell_angle_beta 90.00
_cell_angle_gamma 90.00
_space_group_name_H-M_alt 'P 4/m m m'
_space_group_IT_number 123
_space_group_name_Hall '-P 4 2'
loop_
_atom_site_label
_atom_site_type_symbol
_atom_site_fract_x
_atom_site_fract_y
_atom_site_fract_z
Pr1 Pr 0.000 0.500 0.245
Er1 Er 0.000 0.000 0.500
Tm1 Tm 0.000 0.000 0.000
Tm2 Tm 0.500 0.500 0.500
Sc1 Sc 0.500 0.500 0.000
```

Formation energy from the elements = 0.03 eV per atom
N(E_F) = 10.23 states/eV/f.u.


# 2
YHoSc2Tl4: relaxed, PBE.

```
data_YHoSc2Tl4
_cell_length_a 5.2335
_cell_length_b 5.2335
_cell_length_c 25.6746
_cell_angle_alpha 90.00
_cell_angle_beta 90.00
_cell_angle_gamma 120.00
_space_group_name_H-M_alt 'R -3 m'
_space_group_IT_number 166
_space_group_name_Hall '-R 3 2"'
loop_
_atom_site_label
_atom_site_type_symbol
_atom_site_fract_x
_atom_site_fract_y
_atom_site_fract_z
Y1 Y 0.0000 0.0000 0.0000
Ho1 Ho 0.0000 0.0000 0.5000
Sc1 Sc 0.0000 0.0000 0.2499
Tl1 Tl 0.0000 0.0000 0.1253
Tl2 Tl 0.0000 0.0000 0.3754
```

Formation energy from the elements = -0.29 eV per atom
N(E_F) = 6.92 states/eV/f.u.


# 3
CaCoCl2: relaxed, PBE.

```
data_CaCoCl2
_cell_length_a 3.711
_cell_length_b 3.932
_cell_length_c 5.593
_cell_angle_alpha 90.00
_cell_angle_beta 90.00
_cell_angle_gamma 90.00
_space_group_name_H-M_alt 'P m m m'
_space_group_IT_number 47
loop_
_space_group_symop_operation_xyz
'x,y,z'
'-x,-y,-z'
'-x,-y,z'
'x,y,-z'
'x,-y,-z'
'-x,y,z'
'-x,y,-z'
'x,-y,z'
loop_
_atom_site_label
_atom_site_type_symbol
_atom_site_fract_x
_atom_site_fract_y
_atom_site_fract_z
Ca1 Ca 0.000 0.000 0.000
Co1 Co 0.500 0.000 0.500
Cl1 Cl 0.000 0.500 0.500
Cl2 Cl 0.500 0.500 0.000
```

Energy above the most stable polymorph in this dataset = 302.4 meV per atom
N(E_F) = 4.84 states/eV/f.u.


# 4
TmSc2ZnPd4: relaxed, PBE.

```
data_TmSc2ZnPd4
_cell_length_a 4.6423
_cell_length_b 4.6423
_cell_length_c 22.9905
_cell_angle_alpha 90.00
_cell_angle_beta 90.00
_cell_angle_gamma 120.00
_space_group_name_H-M_alt 'R -3 m'
_space_group_IT_number 166
_space_group_name_Hall '-R 3 2"'
loop_
_atom_site_label
_atom_site_type_symbol
_atom_site_fract_x
_atom_site_fract_y
_atom_site_fract_z
Tm1 Tm 0.0000 0.0000 0.0000
Sc1 Sc 0.0000 0.0000 0.2430
Zn1 Zn 0.0000 0.0000 0.5000
Pd1 Pd 0.0000 0.0000 0.1245
Pd2 Pd 0.0000 0.0000 0.3801
```

Formation energy from the elements = -0.82 eV per atom
N(E_F) = 5.46 states/eV/f.u.


# 5
Rb3PbAu3: relaxed, PBE.

```
data_Rb3PbAu3
_cell_length_a 4.697
_cell_length_b 13.012
_cell_length_c 16.329
_cell_angle_alpha 90.00
_cell_angle_beta 90.00
_cell_angle_gamma 90.00
_space_group_name_H-M_alt 'C m c m'
_space_group_IT_number 63
_space_group_name_Hall '-C 2c 2'
loop_
_atom_site_label
_atom_site_type_symbol
_atom_site_fract_x
_atom_site_fract_y
_atom_site_fract_z
Rb1 Rb 0.000 0.008 0.250
Rb2 Rb 0.000 0.282 0.605
Pb1 Pb 0.000 0.000 0.000
Au1 Au 0.000 0.313 0.250
Au2 Au 0.000 0.427 0.095
```

Formation energy from the elements = -0.25 eV per atom
N(E_F) = 1.44 states/eV/f.u.


# 6
ZnH2Au2: relaxed, PBE.

```
data_ZnH2Au2
_cell_length_a 3.083
_cell_length_b 3.083
_cell_length_c 12.522
_cell_angle_alpha 90.00
_cell_angle_beta 90.00
_cell_angle_gamma 90.00
_space_group_name_H-M_alt 'I 4/m m m'
_space_group_IT_number 139
_space_group_name_Hall '-I 4 2'
loop_
_atom_site_label
_atom_site_type_symbol
_atom_site_fract_x
_atom_site_fract_y
_atom_site_fract_z
Zn1 Zn 0.000 0.000 0.000
H1 H 0.000 0.500 0.250
Au1 Au 0.000 0.000 0.360
```

Energy above the most stable polymorph in this dataset = 80.0 meV per atom
N(E_F) = 1.15 states/eV/f.u.


# 7
ZnGe3H: relaxed, PBE.

```
data_ZnGe3H
_cell_length_a 4.282
_cell_length_b 4.282
_cell_length_c 4.282
_cell_angle_alpha 90.00
_cell_angle_beta 90.00
_cell_angle_gamma 90.00
_space_group_name_H-M_alt 'P m -3 m'
_space_group_IT_number 221
_space_group_name_Hall '-P 4 2 3'
loop_
_atom_site_label
_atom_site_type_symbol
_atom_site_fract_x
_atom_site_fract_y
_atom_site_fract_z
Zn1 Zn 0.000 0.000 0.000
Ge1 Ge 0.000 0.500 0.500
H1 H 0.500 0.500 0.500
```

Energy above the most stable polymorph in this dataset = 0.0 meV per atom
N(E_F) = 2.48 states/eV/f.u.


# 8
ScZnCr2: relaxed, PBE.

```
data_ScZnCr2
_cell_length_a 2.7588
_cell_length_b 2.7588
_cell_length_c 26.8319
_cell_angle_alpha 90.00
_cell_angle_beta 90.00
_cell_angle_gamma 120.00
_space_group_name_H-M_alt 'R -3 m'
_space_group_IT_number 166
_space_group_name_Hall '-R 3 2"'
loop_
_atom_site_label
_atom_site_type_symbol
_atom_site_fract_x
_atom_site_fract_y
_atom_site_fract_z
Sc1 Sc 0.0000 0.0000 0.0000
Zn1 Zn 0.0000 0.0000 0.5000
Cr1 Cr 0.0000 0.0000 0.2464
```

Formation energy from the elements = 0.55 eV per atom
N(E_F) = 4.23 states/eV/f.u.